InHRh2, optimized geometry, DFT PBE-GGA; spin magnetization = 0.0 μB/f.u.; polymorph energy (0 for the lowest one) = 0 meV/atom; symmetry = No. 122
1.0
-4.408 -0.798 4.120
-3.544 -2.494 -4.275
-2.921 -4.225 0.553
H Rh In
2 4 2
direct
0.500 0.500 0.000
0.250 0.750 0.500
0.236 0.625 0.250
0.875 0.764 0.750
0.375 0.486 0.750
0.514 0.125 0.250
0.750 0.250 0.500
0.000 0.000 0.000

=====

InHRh, optimized geometry, DFT PBE-GGA; spin magnetization = 0.0 μB/f.u.; polymorph energy (0 for the lowest one) = 243 meV/atom; symmetry = No. 107
1.0
-1.973 1.455 -1.551
0.267 -1.930 -2.149
-2.572 -2.366 3.764
In H Rh
1 1 1
direct
0.013 0.013 0.026
0.260 0.260 0.521
0.727 0.727 0.453

=====

InH3Rh, optimized geometry, DFT PBE-GGA; E_tot = -19.56 eV/cell; spin magnetization = 0.0 μB/f.u.; symmetry = No. 221
1.0
3.651 0.000 0.000
0.000 3.651 0.000
0.000 0.000 3.651
H In Rh
3 1 1
direct
0.000 0.500 0.000
0.500 0.000 0.000
0.000 0.000 0.500
0.500 0.500 0.500
0.000 0.000 0.000

=====

In2H2Rh, optimized geometry, DFT PBE-GGA; spin magnetization = 0.0 μB/f.u.; polymorph energy (0 for the lowest one) = 29 meV/atom; symmetry = No. 139
1.0
3.122 0.000 0.000
0.000 3.122 0.000
1.561 1.561 6.735
Rh In H
1 2 2
direct
0.000 0.000 0.000
0.371 0.371 0.259
0.629 0.629 0.741
0.750 0.250 0.500
0.250 0.750 0.500